## Al2WN (PBE)

Data for a geometry-optimized Al2WN structure.

abc: 5.751 5.751 5.373
angles: 57.64 57.64 90.00
Positions (direct):
Al: 0.375 0.486 0.750
W: 0.750 0.250 0.500
Al: 0.875 0.764 0.750
Al: 0.236 0.625 0.250
Al: 0.514 0.125 0.250
N: 0.500 0.500 0.000
N: 0.250 0.750 0.500
W: 0.000 0.000 0.000

Raw total energy ... -55.151 eV for the cell shown
Magnetization ... 0.0 Bohr magnetons per cell
Symmetry ... I-42d, No. 122